{
  "formula": "SrCdNi",
  "functional": "SCAN",
  "state": "single point on PBEsol structure",
  "cell": [[-2.1843, 3.0071, 3.0446], [-0.6120, -1.2596, 4.5958], [2.5324, 2.1868, 3.4478]],
  "species": ["Cd", "Ni", "Sr"],
  "frac_coords": [[0.2500, 0.2500, 0.2500], [0.0000, 0.0000, 0.0000], [0.5000, 0.5000, 0.5000]],
  "delta_e_f_ev_per_atom": 0.387,
  "spacegroup": "F-43m, No. 216"
}



{
  "formula": "Se2Br",
  "functional": "SCAN",
  "state": "single point on PBEsol structure",
  "cell": [[3.5598, 0.0000, 0.0000], [-1.7799, 5.6442, 0.0606], [0.0000, -0.0800, 7.4908]],
  "species": ["Br", "Br", "Se", "Se", "Se", "Se"],
  "frac_coords": [[0.9845, 0.9691, 0.7500], [0.0155, 0.0309, 0.2500], [0.3174, 0.6348, 0.9533], [0.6826, 0.3652, 0.4533], [0.3174, 0.6348, 0.5467], [0.6826, 0.3652, 0.0467]],
  "spacegroup": "Cmcm, No. 63",
  "relative_energy_mev_per_atom": 132.2,
  "formation_energy_uncorrected_ev_per_atom": 0.074
}



{
  "formula": "NaSr3TaO6",
  "functional": "SCAN",
  "state": "single point on PBEsol structure",
  "cell": [[-4.2569, 0.0854, -5.3259], [-5.0764, -1.7440, 4.2050], [-1.1178, 6.6229, 1.1751]],
  "species": ["Na", "Na", "Sr", "Sr", "Sr", "Sr", "Sr", "Sr", "Ta", "Ta", "O", "O", "O", "O", "O", "O", "O", "O", "O", "O", "O", "O"],
  "frac_coords": [[0.2500, 0.2500, 0.2500], [0.7500, 0.7500, 0.7500], [0.6013, 0.2500, 0.8987], [0.8987, 0.6013, 0.2500], [0.2500, 0.8987, 0.6013], [0.3987, 0.7500, 0.1013], [0.1013, 0.3987, 0.7500], [0.7500, 0.1013, 0.3987], [0.5000, 0.5000, 0.5000], [0.0000, 0.0000, 0.0000], [0.2204, 0.5548, 0.4264], [0.4264, 0.2204, 0.5548], [0.5548, 0.4264, 0.2204], [0.9452, 0.2796, 0.0736], [0.0736, 0.9452, 0.2796], [0.2796, 0.0736, 0.9452], [0.7796, 0.4452, 0.5736], [0.5736, 0.7796, 0.4452], [0.4452, 0.5736, 0.7796], [0.0548, 0.7204, 0.9264], [0.7204, 0.9264, 0.0548], [0.9264, 0.0548, 0.7204]],
  "spacegroup": "R-3c, No. 167",
  "formation_energy_uncorrected_ev_per_atom": -3.050
}



{
  "formula": "MgZrN2O",
  "functional": "SCAN",
  "state": "single point on PBEsol structure",
  "cell": [[4.0739, 0.0000, 0.0000], [0.0000, 4.1477, 0.0000], [0.0000, 0.0000, 4.1477]],
  "species": ["Mg", "O", "Zr", "N", "N"],
  "frac_coords": [[0.5000, 0.5000, 0.5000], [0.5000, 0.0000, 0.0000], [0.0000, 0.0000, 0.0000], [0.0000, 0.0000, 0.5000], [0.0000, 0.5000, 0.0000]],
  "spacegroup": "P4/mmm, No. 123",
  "formation_energy_uncorrected_ev_per_atom": -0.720
}



{
  "formula": "Ca2NiRhCl",
  "functional": "SCAN",
  "state": "single point on PBEsol structure",
  "cell": [[-3.5957, 0.0789, 1.6225], [1.7393, -3.0454, 4.0027], [1.3324, 4.3629, 2.7405]],
  "species": ["Ni", "Ca", "Ca", "Rh", "Cl"],
  "frac_coords": [[0.0000, 0.0000, 0.0000], [0.0000, 0.0000, 0.5000], [0.0000, 0.5000, 0.0000], [0.5000, 0.5000, 0.5000], [0.5000, 0.0000, 0.0000]],
  "spacegroup": "P4/mmm, No. 123",
  "formation_energy_uncorrected_ev_per_atom": -0.005
}



{
  "formula": "CdAsW2",
  "functional": "SCAN",
  "state": "single point on PBEsol structure",
  "cell": [[-2.9526, 0.6076, -1.2756], [0.1619, -3.9256, -2.2444], [-0.5187, -0.3938, 5.2125]],
  "species": ["As", "W", "W", "Cd"],
  "frac_coords": [[0.4809, 0.4809, 0.9619], [0.0184, 0.0184, 0.0369], [0.7547, 0.2547, 0.5094], [0.2460, 0.7460, 0.4919]],
  "delta_e_f_ev_per_atom": 0.693,
  "spacegroup": "Imm2, No. 44",
  "relative_energy_mev_per_atom": 68.7
}



{
  "formula": "ZrScTiSe2",
  "functional": "SCAN",
  "state": "single point on PBEsol structure",
  "cell": [[-3.0994, -0.1025, -3.7320], [3.3287, -2.2722, -2.7021], [-1.6482, -4.1789, 1.4836]],
  "species": ["Sc", "Se", "Se", "Zr", "Ti"],
  "frac_coords": [[0.5000, 0.5000, 0.5000], [0.0000, 0.5000, 0.0000], [0.5000, 0.0000, 0.0000], [0.0000, 0.0000, 0.5000], [0.0000, 0.0000, 0.0000]],
  "spacegroup": "P4/mmm, No. 123",
  "formation_energy_uncorrected_ev_per_atom": -0.084
}



{
  "formula": "HgWI2Cl",
  "functional": "SCAN",
  "state": "single point on PBEsol structure",
  "cell": [[4.6114, 0.0000, 0.0000], [0.0000, 5.5256, 0.0000], [0.0000, 0.0000, 5.5256]],
  "species": ["I", "I", "Hg", "W", "Cl"],
  "frac_coords": [[0.0000, 0.0000, 0.5000], [0.0000, 0.5000, 0.0000], [0.5000, 0.5000, 0.5000], [0.0000, 0.0000, 0.0000], [0.5000, 0.0000, 0.0000]],
  "spacegroup": "P4/mmm, No. 123",
  "formation_energy_uncorrected_ev_per_atom": 0.265
}



{
  "formula": "KAl2Rh",
  "functional": "SCAN",
  "state": "single point on PBEsol structure",
  "cell": [[5.9167, 0.0000, 0.0000], [0.0000, 5.9167, 0.0000], [-2.9583, -2.9583, 7.0691]],
  "species": ["K", "K", "Rh", "Rh", "Al", "Al", "Al", "Al"],
  "frac_coords": [[0.5000, 0.5000, 0.0000], [0.7500, 0.2500, 0.5000], [0.0000, 0.0000, 0.0000], [0.2500, 0.7500, 0.5000], [0.6250, 0.8750, 0.7500], [0.1250, 0.8750, 0.7500], [0.1250, 0.8750, 0.2500], [0.1250, 0.3750, 0.2500]],
  "delta_e_f_ev_per_atom": -0.140,
  "spacegroup": "I4_1/amd, No. 141",
  "relative_energy_mev_per_atom": 95.8
}



{
  "formula": "Rb2Li14Pb3O14",
  "functional": "SCAN",
  "state": "single point on PBEsol structure",
  "cell": [[-4.6079, 0.4630, -5.6212], [0.7221, -7.5758, 3.5023], [-4.1617, 5.5808, 3.8712]],
  "species": ["Li", "Li", "Li", "Li", "Li", "Li", "Li", "Li", "Li", "Li", "Li", "Li", "Li", "Li", "O", "O", "O", "O", "O", "O", "O", "O", "O", "O", "O", "O", "O", "O", "Pb", "Pb", "Pb", "Rb", "Rb"],
  "frac_coords": [[0.5000, 0.0000, 0.8418], [0.5000, 0.0000, 0.1582], [0.7691, 0.5382, 0.4147], [0.2309, 0.4618, 0.5853], [0.2309, 0.4618, 0.8765], [0.7691, 0.5382, 0.1235], [0.1377, 0.7311, 0.7091], [0.4065, 0.2689, 0.2909], [0.8623, 0.2689, 0.9780], [0.5935, 0.7311, 0.0220], [0.8623, 0.2689, 0.2909], [0.5935, 0.7311, 0.7091], [0.1377, 0.7311, 0.0220], [0.4065, 0.2689, 0.9780], [0.4571, 0.4984, 0.7492], [0.9587, 0.5016, 0.2508], [0.5429, 0.5016, 0.2508], [0.0413, 0.4984, 0.7492], [0.2957, 0.0000, 0.0000], [0.7043, 0.0000, 0.0000], [0.8727, 0.7454, 0.6856], [0.1273, 0.2546, 0.3144], [0.1273, 0.2546, 0.9403], [0.8727, 0.7454, 0.0597], [0.6286, 0.2573, 0.4103], [0.3714, 0.7427, 0.5897], [0.3714, 0.7427, 0.1530], [0.6286, 0.2573, 0.8470], [0.7283, 0.4565, 0.7283], [0.2717, 0.5435, 0.2717], [0.0000, 0.0000, 0.0000], [0.7643, 0.0000, 0.5000], [0.2357, 0.0000, 0.5000]],
  "spacegroup": "Immm, No. 71",
  "formation_energy_uncorrected_ev_per_atom": -1.766
}



{
  "formula": "LiSiMo2",
  "functional": "SCAN",
  "state": "single point on PBEsol structure",
  "cell": [[-2.3796, -1.0070, -0.6250], [1.7336, -4.1468, 0.0810], [-1.0056, -0.3351, 4.3686]],
  "species": ["Li", "Mo", "Mo", "Si"],
  "frac_coords": [[0.5000, 0.0000, 0.0000], [0.0000, 0.0000, 0.5000], [0.0000, 0.5000, 0.0000], [0.5000, 0.5000, 0.5000]],
  "spacegroup": "P4/mmm, No. 123",
  "formation_energy_uncorrected_ev_per_atom": 0.257
}



{
  "formula": "Y3In",
  "functional": "SCAN",
  "state": "single point on PBEsol structure",
  "cell": [[-3.8233, -2.6388, 0.5710], [2.2289, -2.5263, 3.2490], [-0.8218, 5.6918, 1.6183]],
  "species": ["Y", "Y", "Y", "In"],
  "frac_coords": [[0.7500, 0.2500, 0.5000], [0.5000, 0.5000, 0.0000], [0.2500, 0.7500, 0.5000], [0.0000, 0.0000, 0.0000]],
  "delta_e_f_ev_per_atom": -0.324,
  "spacegroup": "I4/mmm, No. 139"
}



| no. | size of the total moment (μB/cell) |
| --- | --- |
| 1 | 0.0 |
| 2 | 0.0 |
| 3 | 0.0 |
| 4 | 2.0 |
| 5 | 0.0 |
| 6 | 0.0 |
| 7 | 0.0 |
| 8 | 2.7 |
| 9 | 0.0 |
| 10 | 0.0 |
| 11 | 0.0 |
| 12 | 0.0 |